DFT (meta-GGA SCAN) results for a crystal of Hf2ScBeFe relaxed with PBEsol.

Cell and atoms, written as extended XYZ:
```
5
Lattice="4.578 0.000 0.000 0.000 4.578 0.000 0.000 0.000 4.599" Properties=species:S:1:pos:R:3 pbc="T T T"
Hf 0.000 2.289 0.000
Hf 2.289 0.000 0.000
Sc 0.000 0.000 2.299
Be 0.000 0.000 0.000
Fe 2.289 2.289 2.299
```

Output
calculated formation energy	0.63	eV/atom
total energy	-158.9	eV for the cell shown
Fermi-level density of states	1.676	states/eV per atom
symmetry	P4/mmm (123)


DFT (meta-GGA SCAN) results for a crystal of PmEr3 relaxed with PBEsol.

Cell and atoms, written as extended XYZ:
```
4
Lattice="-2.452 2.452 4.896 2.452 -2.452 4.896 2.452 2.452 -4.896" Properties=species:S:1:pos:R:3 pbc="T T T"
Pm 0.000 0.000 0.000
Er 2.452 0.000 2.448
Er 0.000 0.000 4.896
Er 0.000 2.452 2.448
```

Output
calculated formation energy	0.02	eV/atom
E above lowest polymorph	14	meV/atom
total energy	-194.9	eV for the cell shown
Fermi-level density of states	1.242	states/eV per atom
symmetry	I4/mmm (139)


DFT (meta-GGA SCAN) results for a crystal of Al4HgP relaxed with PBEsol.

Cell and atoms, written as extended XYZ:
```
6
Lattice="0.000 3.776 3.776 3.776 0.000 3.776 3.776 3.776 0.000" Properties=species:S:1:pos:R:3 pbc="T T T"
Al 0.945 0.945 0.945
Al 2.831 2.831 0.945
Al 2.831 0.945 2.831
Al 0.945 2.831 2.831
Hg 5.664 5.664 5.664
P 3.776 3.776 3.776
```

Output
calculated formation energy	0.41	eV/atom
total energy	-107.1	eV for the cell shown
Fermi-level density of states	0.396	states/eV per atom
symmetry	F-43m (216)


DFT (meta-GGA SCAN) results for a crystal of Li2CaCr relaxed with PBEsol.

Cell and atoms, written as extended XYZ:
```
4
Lattice="3.236 0.000 0.000 0.000 5.056 0.000 -0.636 0.000 5.629" Properties=species:S:1:pos:R:3 pbc="T T T"
Li 0.550 0.000 1.647
Li 2.050 0.000 3.981
Ca 1.618 2.528 0.000
Cr -0.318 2.528 2.814
```

Output
calculated formation energy	0.29	eV/atom
E above lowest polymorph	48	meV/atom
total energy	-31.7	eV for the cell shown
Fermi-level density of states	0.569	states/eV per atom
symmetry	P2/m (10)


DFT (meta-GGA SCAN) results for a crystal of BaTcAsBr2 relaxed with PBEsol.

Cell and atoms, written as extended XYZ:
```
5
Lattice="5.998 0.000 0.000 0.000 5.998 0.000 0.000 0.000 6.424" Properties=species:S:1:pos:R:3 pbc="T T T"
Ba 0.000 0.000 0.000
Tc 2.999 2.999 3.212
As 0.000 0.000 3.212
Br 0.000 2.999 0.000
Br 2.999 0.000 0.000
```

Output
total energy	-131.9	eV for the cell shown
Fermi-level density of states	0.703	states/eV per atom
symmetry	P4/mmm (123)


DFT (meta-GGA SCAN) results for a crystal of KLa3Te relaxed with PBEsol.

Cell and atoms, written as extended XYZ:
```
5
Lattice="5.376 0.000 0.000 0.000 5.376 0.000 0.000 0.000 5.376" Properties=species:S:1:pos:R:3 pbc="T T T"
K 0.000 0.000 0.000
La 0.000 0.000 2.688
La 0.000 2.688 0.000
La 2.688 0.000 0.000
Te 2.688 2.688 2.688
```

Output
total energy	-171.6	eV for the cell shown
Fermi-level density of states	1.182	states/eV per atom
symmetry	Pm-3m (221)


DFT (meta-GGA SCAN) results for a crystal of Ir3Os relaxed with PBEsol.

Cell and atoms, written as extended XYZ:
```
4
Lattice="2.705 0.000 0.000 0.000 2.705 0.000 0.000 0.000 7.666" Properties=species:S:1:pos:R:3 pbc="T T T"
Ir 0.000 0.000 0.000
Ir 1.352 1.352 1.940
Ir 1.352 1.352 5.726
Os 0.000 0.000 3.833
```

Output
calculated formation energy	0.01	eV/atom
total energy	-285.1	eV for the cell shown
Fermi-level density of states	0.800	states/eV per atom
symmetry	P4/mmm (123)


DFT (meta-GGA SCAN) results for a crystal of Sr2TaRh relaxed with PBEsol.

Cell and atoms, written as extended XYZ:
```
4
Lattice="-2.047 2.047 5.308 2.047 -2.047 5.308 2.047 2.047 -5.308" Properties=species:S:1:pos:R:3 pbc="T T T"
Sr 2.047 0.000 2.654
Sr 0.000 2.047 2.654
Ta 0.000 0.000 0.000
Rh 0.000 0.000 5.308
```

Output
calculated formation energy	0.81	eV/atom
E above lowest polymorph	4	meV/atom
total energy	-141.7	eV for the cell shown
Fermi-level density of states	0.810	states/eV per atom
symmetry	I4/mmm (139)


Q: Look up the Fermi-level density of states of the second one.
A: 1.242 states/eV per atom


Repeat the second record exactly.
DFT (meta-GGA SCAN) results for a crystal of PmEr3 relaxed with PBEsol.

Cell and atoms, written as extended XYZ:
```
4
Lattice="-2.452 2.452 4.896 2.452 -2.452 4.896 2.452 2.452 -4.896" Properties=species:S:1:pos:R:3 pbc="T T T"
Pm 0.000 0.000 0.000
Er 2.452 0.000 2.448
Er 0.000 0.000 4.896
Er 0.000 2.452 2.448
```

Output
calculated formation energy	0.02	eV/atom
E above lowest polymorph	14	meV/atom
total energy	-194.9	eV for the cell shown
Fermi-level density of states	1.242	states/eV per atom
symmetry	I4/mmm (139)